Entry 1:
Below is an optimized crystal structure of Li4Hf3PaS8, with properties calculated at the PBE level.

The space group is R-3m (No. 166, hexagonal axes) and the conventional cell measures 7.2473, 7.2473 and 19.0011 Å, with angles of 90.00, 90.00 and 120.00 degrees. The asymmetric unit holds Li at (0.0000, 0.0000, 0.0000), Li at (0.0000, 0.5000, 0.0000), Hf at (0.0000, 0.5000, 0.5000), Pa at (0.0000, 0.0000, 0.5000), S at (0.0000, 0.0000, 0.2474) and S at (0.0133, 0.5067, 0.7487).

The value obtained for the energy relative to the elements, uncorrected is -1490 meV/atom. As for the mass density: 6.06 g cm⁻³. Its magnetic moment is 0.070 μB/atom.

Entry 2:
Below is an optimized crystal structure of Tc2PtSe, with properties calculated at the PBE level.

The space group is R3m (No. 160, hexagonal axes) and the conventional cell measures 2.8398, 2.8398 and 27.1996 Å, with angles of 90.00, 90.00 and 120.00 degrees. The asymmetric unit holds Tc at (0.0000, 0.0000, 0.0000), Tc at (0.0000, 0.0000, 0.2550), Pt at (0.0000, 0.0000, 0.7496) and Se at (0.0000, 0.0000, 0.5142).

The value obtained for the energy relative to the elements, uncorrected is 124 meV/atom. As for the mass density: 12.33 g cm⁻³. Its magnetic moment is 0.000 μB/atom.

Entry 3:
Below is an optimized crystal structure of PaAl2PtO8, with properties calculated at the PBE level.

The space group is Cmmm (No. 65) and the conventional cell measures 6.5773, 6.6557 and 6.1834 Å, with angles of 90.00, 90.00 and 90.00 degrees. The asymmetric unit holds Pa at (0.0000, 0.0000, 0.0000), Al at (0.0000, 0.5000, 0.2567), Pt at (0.0000, 0.0000, 0.5000), O at (0.0000, 0.2152, 0.2676), O at (0.1777, 0.5000, 0.0000) and O at (0.1944, 0.5000, 0.5000).

The value obtained for the energy relative to the elements, uncorrected is -2299 meV/atom. As for the mass density: 7.46 g cm⁻³. Its magnetic moment is 0.075 μB/atom.